Material: HfTi5Pd8
Method: DFT, PBE
State: optimized geometry

abc: 6.727 6.727 6.727
angles: 109.70 109.01 109.70
Sites, in units of the cell vectors:
Pd 0.138 0.737 0.077
Pd 0.340 0.263 0.401
Pd 0.656 0.404 0.922
Pd 0.078 0.734 0.482
Pd 0.923 0.061 0.660
Pd 0.748 0.266 0.344
Pd 0.518 0.596 0.252
Pd 0.599 0.939 0.862
Ti 0.780 0.649 0.696
Ti 0.047 0.351 0.131
Ti 0.869 0.916 0.220
Ti 0.304 0.084 0.953
Ti 0.500 0.000 0.500
Hf 0.250 0.500 0.750

Results
DFT total energy: -6.944 eV/atom
Symmetry: I-4, No. 82